1.
Below is crystalline KP2C at its relaxed geometry, with properties calculated at the PBE level.

Cell lengths 6.3965, 6.3965, 5.7912 Å; angles 56.48, 56.48, 90.00 degrees
Last column: nearest neighbours and their distance in Å.
Atoms (fractional coordinates):
1 P 0.8750 0.7378 0.7500  2 C 1.97
2 P 0.2622 0.6250 0.2500  2 C 1.97
3 P 0.4878 0.1250 0.2500  2 C 1.97
4 P 0.3750 0.5122 0.7500  2 C 1.97
5 K 0.0000 0.0000 0.0000  8 P 3.08-3.23
6 K 0.7500 0.2500 0.5000  8 P 3.08-3.23
7 C 0.2500 0.7500 0.5000  4 P 1.97
8 C 0.5000 0.5000 0.0000  4 P 1.97

## Properties
The space group is I-42d, No. 122. The total energy is -37.63 eV for the cell shown. The value obtained for the size of the total moment is 0.0 μB/f.u. The calculation puts the formation energy at 0.58 eV/atom.

=====

2.
Below is crystalline NaGa2Rh2 at its relaxed geometry, with properties calculated at the PBE level.

Cell lengths 7.3900, 7.3900, 2.9019 Å; angles 90.00, 90.00, 90.00 degrees
Last column: nearest neighbours and their distance in Å.
Atoms (fractional coordinates):
1 Ga 0.6512 0.8488 0.5000  6 Rh 2.59-2.62, 2 Ga 2.90
2 Ga 0.8488 0.3488 0.5000  6 Rh 2.59-2.62, 2 Ga 2.90
3 Ga 0.3488 0.1512 0.5000  6 Rh 2.59-2.62, 2 Ga 2.90
4 Ga 0.1512 0.6512 0.5000  6 Rh 2.59-2.62, 2 Ga 2.90
5 Rh 0.8566 0.6434 0.0000  6 Ga 2.59-2.62, 2 Na 2.84, 2 Rh 2.90
6 Rh 0.3566 0.8566 0.0000  6 Ga 2.59-2.62, 2 Na 2.84, 2 Rh 2.90
7 Rh 0.1434 0.3566 0.0000  6 Ga 2.59-2.62, 2 Na 2.84, 2 Rh 2.90
8 Rh 0.6434 0.1434 0.0000  6 Ga 2.59-2.62, 2 Na 2.84, 2 Rh 2.90
9 Na 0.0000 0.0000 0.0000  4 Rh 2.84, 2 Na 2.90, 8 Ga 3.16
10 Na 0.5000 0.5000 0.0000  4 Rh 2.84, 2 Na 2.90, 8 Ga 3.16

## Properties
The space group is P4/mbm, No. 127. The total energy is -49.10 eV for the cell shown. The value obtained for the size of the total moment is 0.0 μB/f.u. The calculation puts the formation energy at -0.49 eV/atom.

=====

3.
Below is crystalline In2HgBrN at its relaxed geometry, with properties calculated at the PBE level.

Cell lengths 6.1524, 7.2255, 6.1524 Å; angles 90.00, 90.00, 90.00 degrees
Last column: nearest neighbours and their distance in Å.
Atoms (fractional coordinates):
1 In 0.5000 0.0000 0.0000  2 Br 3.08
2 In 0.0000 0.0000 0.5000  2 Br 3.08
3 Hg 0.0000 0.5000 0.0000  2 Br 3.61
4 Br 0.0000 0.0000 0.0000  4 In 3.08
5 N 0.5000 0.5000 0.5000  4 Hg 4.35, 8 In 4.75

## Properties
The space group is P4/mmm, No. 123. The total energy is -10.34 eV for the cell shown. The calculation puts the energy relative to the elements, uncorrected at 1.087 eV/atom. The value obtained for the size of the total moment is 2.5 μB/f.u.

=====

4.
Below is crystalline La3Ga2Os at its relaxed geometry, with properties calculated at the PBE level.

Cell lengths 4.5409, 11.3056, 12.5750 Å; angles 90.00, 90.00, 90.00 degrees
Last column: nearest neighbours and their distance in Å.
Atoms (fractional coordinates):
1 Ga 0.7500 0.5135 0.2077  1 Os 2.66
2 Ga 0.2500 0.6995 0.4830  2 Os 2.66
3 Ga 0.7500 0.9865 0.7077  1 Os 2.66
4 Ga 0.7500 0.1995 0.0170  2 Os 2.66
5 Ga 0.2500 0.0135 0.2923  1 Os 2.66
6 Ga 0.2500 0.4865 0.7923  1 Os 2.66
7 Ga 0.7500 0.3005 0.5170  2 Os 2.66
8 Ga 0.2500 0.8005 0.9830  2 Os 2.66
9 La 0.2500 0.3851 0.0531  1 Os 2.87, 2 Ga 3.12
10 La 0.7500 0.5557 0.6144  3 Os 3.04-3.18, 5 Ga 3.13-3.28
11 La 0.2500 0.1149 0.5531  1 Os 2.87, 2 Ga 3.12
12 La 0.2500 0.4443 0.3856  3 Os 3.04-3.18, 5 Ga 3.13-3.28
13 La 0.7500 0.9443 0.1144  3 Os 3.04-3.18, 5 Ga 3.13-3.28
14 La 0.7500 0.2129 0.2670  2 Os 3.08, 4 Ga 3.15-3.30
15 La 0.2500 0.7129 0.2330  2 Os 3.08, 4 Ga 3.15-3.30
16 La 0.7500 0.2871 0.7670  2 Os 3.08, 4 Ga 3.15-3.30
17 La 0.2500 0.7871 0.7330  2 Os 3.08, 4 Ga 3.15-3.30
18 La 0.2500 0.0557 0.8856  3 Os 3.04-3.18, 5 Ga 3.13-3.28
19 La 0.7500 0.6149 0.9469  1 Os 2.87, 2 Ga 3.12
20 La 0.7500 0.8851 0.4469  1 Os 2.87, 2 Ga 3.12
21 Os 0.7500 0.6410 0.3854  3 Ga 2.66, 1 La 2.87
22 Os 0.2500 0.3590 0.6146  3 Ga 2.66, 1 La 2.87
23 Os 0.7500 0.8590 0.8854  3 Ga 2.66, 1 La 2.87
24 Os 0.2500 0.1410 0.1146  3 Ga 2.66, 1 La 2.87

## Properties
The space group is Pnma, No. 62. The total energy is -138.59 eV for the cell shown. The value obtained for the size of the total moment is 0.0 μB/f.u. The calculation puts the formation energy at -0.43 eV/atom.

=====

5.
Below is crystalline MgOs4Ru at its relaxed geometry, with properties calculated at the PBE level.

Cell lengths 5.1354, 5.1354, 5.1354 Å; angles 60.00, 60.00, 60.00 degrees
Last column: nearest neighbours and their distance in Å.
Atoms (fractional coordinates):
1 Ru 0.7500 0.7500 0.7500  12 Os 3.01, 4 Mg 3.14
2 Os 0.8747 0.3751 0.3751  6 Os 2.57
3 Os 0.3751 0.3751 0.3751  6 Os 2.57
4 Os 0.3751 0.8747 0.3751  6 Os 2.57
5 Os 0.3751 0.3751 0.8747  6 Os 2.57
6 Mg 0.0000 0.0000 0.0000  12 Os 3.01, 4 Ru 3.14

## Properties
The space group is F-43m, No. 216. The total energy is -52.31 eV for the cell shown. The value obtained for the size of the total moment is 0.0 μB/f.u. The calculation puts the formation energy at 0.58 eV/atom.

=====

6.
Below is crystalline Ti3Zn4In at its relaxed geometry, with properties calculated at the PBE level.

Cell lengths 2.9623, 6.9692, 7.7747 Å; angles 116.63, 100.98, 90.00 degrees
Last column: nearest neighbours and their distance in Å.
Atoms (fractional coordinates):
1 Ti 0.8041 0.8041 0.6083  6 Zn 2.66-2.71, 2 Ti 2.96
2 Ti 0.1959 0.1959 0.3917  6 Zn 2.66-2.71, 2 Ti 2.96
3 Ti 0.0000 0.5000 0.0000  8 Zn 2.73, 2 Ti 2.96
4 Zn 0.3640 0.1688 0.7280  5 Ti 2.66-2.73, 3 Zn 2.72-2.96, 1 In 2.81
5 Zn 0.3640 0.5592 0.7280  5 Ti 2.66-2.73, 3 Zn 2.72-2.96, 1 In 2.81
6 Zn 0.6360 0.8312 0.2720  5 Ti 2.66-2.73, 3 Zn 2.72-2.96, 1 In 2.81
7 Zn 0.6360 0.4408 0.2720  5 Ti 2.66-2.73, 3 Zn 2.72-2.96, 1 In 2.81
8 In 0.5000 0.0000 0.0000  4 Zn 2.81, 2 In 2.96, 4 Ti 3.04

## Properties
The space group is Immm, No. 71. The total energy is -30.63 eV for the cell shown. The value obtained for the size of the total moment is 0.0 μB/f.u. The calculation puts the formation energy at 0.11 eV/atom.

=====

Which of these has the highest size of the total moment? In2HgBrN

=====

Which value of size of the total moment does entry 4 give? 0.0 μB/f.u.